1.
VASP calculation (PBE) on a relaxed Y5HoEr2 crystal.

Lattice parameters (Å, degrees): 7.101 14.202 5.009 90.00 90.00 90.00
Positions (direct):
Y: 0.000 0.000 0.000
Y: 0.001 0.251 0.000
Y: 0.250 0.375 0.500
Y: 0.250 0.875 0.500
Y: 0.499 0.751 0.000
Y: 0.500 0.500 0.000
Y: 0.501 0.249 0.000
Y: 0.750 0.125 0.500
Y: 0.750 0.625 0.500
Y: 0.999 0.749 0.000
Ho: 0.000 0.500 0.000
Ho: 0.500 0.000 0.000
Er: 0.249 0.625 0.500
Er: 0.251 0.125 0.500
Er: 0.749 0.875 0.500
Er: 0.751 0.375 0.500

Values from the calculation:
Symmetry: Pbam, No. 55

***

2.
VASP calculation (PBE) on a relaxed YHo3Er4 crystal.

Lattice parameters (Å, degrees): 3.525 7.035 9.958 90.00 90.00 90.00
Positions (direct):
Y: 0.000 0.000 0.000
Ho: 0.000 0.000 0.500
Ho: 0.000 0.500 0.000
Ho: 0.000 0.500 0.500
Er: 0.500 0.251 0.251
Er: 0.500 0.251 0.749
Er: 0.500 0.749 0.251
Er: 0.500 0.749 0.749

Values from the calculation:
Symmetry: Pmmm, No. 47

***

3.
VASP calculation (PBE) on a relaxed Y5Ho3Er3 crystal.

Lattice parameters (Å, degrees): 11.058 11.058 3.435 90.00 90.00 120.00
Positions (direct):
Y: 0.000 0.838 0.000
Y: 0.162 0.162 0.000
Y: 0.333 0.667 0.000
Y: 0.667 0.333 0.000
Y: 0.838 0.000 0.000
Ho: 0.000 0.342 0.000
Ho: 0.342 0.000 0.000
Ho: 0.658 0.658 0.000
Er: 0.000 0.592 0.500
Er: 0.408 0.408 0.500
Er: 0.592 0.000 0.500

Values from the calculation:
Symmetry: P-62m, No. 189

***

4.
VASP calculation (PBE) on a relaxed YHo2Er crystal.

Lattice parameters (Å, degrees): 6.916 6.905 10.931 90.00 90.03 90.00
Positions (direct):
Y: 0.126 0.125 0.387
Y: 0.126 0.875 0.887
Y: 0.874 0.125 0.113
Y: 0.874 0.875 0.613
Ho: 0.125 0.376 0.888
Ho: 0.125 0.624 0.388
Ho: 0.376 0.126 0.112
Ho: 0.376 0.874 0.612
Ho: 0.624 0.126 0.388
Ho: 0.624 0.874 0.888
Ho: 0.875 0.376 0.612
Ho: 0.875 0.624 0.112
Er: 0.375 0.375 0.613
Er: 0.375 0.625 0.113
Er: 0.625 0.375 0.887
Er: 0.625 0.625 0.387

Values from the calculation:
Symmetry: P2/c, No. 13

***

5.
VASP calculation (PBE) on a relaxed Y3Ho5Er3 crystal.

Lattice parameters (Å, degrees): 9.722 9.722 5.468 90.00 90.00 120.00
Positions (direct):
Y: 0.000 0.643 0.000
Y: 0.357 0.357 0.000
Y: 0.643 0.000 0.000
Ho: 0.000 0.288 0.000
Ho: 0.288 0.000 0.000
Ho: 0.333 0.667 0.000
Ho: 0.667 0.333 0.000
Ho: 0.712 0.712 0.000
Er: 0.000 0.461 0.500
Er: 0.461 0.000 0.500
Er: 0.539 0.539 0.500

Values from the calculation:
Symmetry: P-62m, No. 189

***

6.
VASP calculation (PBE) on a relaxed Y6Ho19Er4 crystal.

Lattice parameters (Å, degrees): 10.729 10.729 10.729 109.47 109.47 109.47
Positions (direct):
Y: 0.130 0.500 0.630
Y: 0.370 0.870 0.500
Y: 0.500 0.370 0.870
Y: 0.500 0.630 0.130
Y: 0.630 0.130 0.500
Y: 0.870 0.500 0.370
Ho: 0.000 0.000 0.000
Ho: 0.000 0.260 0.260
Ho: 0.000 0.740 0.740
Ho: 0.018 0.212 0.677
Ho: 0.194 0.982 0.659
Ho: 0.212 0.677 0.018
Ho: 0.260 0.000 0.260
Ho: 0.260 0.260 0.000
Ho: 0.323 0.535 0.341
Ho: 0.341 0.323 0.535
Ho: 0.465 0.788 0.806
Ho: 0.535 0.341 0.323
Ho: 0.659 0.194 0.982
Ho: 0.677 0.018 0.212
Ho: 0.740 0.000 0.740
Ho: 0.740 0.740 0.000
Ho: 0.788 0.806 0.465
Ho: 0.806 0.465 0.788
Ho: 0.982 0.659 0.194
Er: 0.000 0.000 0.358
Er: 0.000 0.358 0.000
Er: 0.358 0.000 0.000
Er: 0.642 0.642 0.642

Values from the calculation:
Symmetry: I23, No. 197

***

Size of the total moment readings, ordered: 0.00 0.00 0.00 0.00 0.00 0.06 μB/cell
DFT formation energy readings, ordered: 0.54 0.56 8.47 5.00 19.65 8.96 kcal/mol of atoms